VASP calculation (PBE-GGA) on LiZnAu2 after structural relaxation.

Cell lengths 2.879, 2.879, 7.928 Å; angles 90.00, 90.00, 90.19 degrees
Element x y z (fractional)
Li: 0.000 0.000 0.000
Zn: 0.500 0.500 0.755
Au: 0.000 0.000 0.515
Au: 0.500 0.500 0.227

Properties
E = -2.664 eV/atom

***

VASP calculation (PBE-GGA) on LiZn6Au5 after structural relaxation.

Cell lengths 7.783, 7.783, 7.783 Å; angles 146.30, 132.20, 59.76 degrees
Element x y z (fractional)
Li: 0.000 0.000 0.000
Zn: 0.089 0.834 0.256
Zn: 0.263 0.500 0.763
Zn: 0.422 0.166 0.256
Zn: 0.578 0.834 0.744
Zn: 0.737 0.500 0.237
Zn: 0.911 0.166 0.744
Au: 0.153 0.653 0.500
Au: 0.326 0.326 0.000
Au: 0.500 0.000 0.500
Au: 0.674 0.674 0.000
Au: 0.847 0.347 0.500

Properties
E = -2.415 eV/atom

***

Among the records above, which one has the lowest E?
LiZnAu2

***

Which of these has the highest E?
LiZn6Au5

***

Look up the E of the second one.
-2.415 eV/atom

***

E of number 1 (LiZnAu2)?
-2.664 eV/atom